Record 1
# AgSn3Au3 PBE relaxed
data_AgSn3Au3
_cell_length_a 8.4623
_cell_length_b 8.4623
_cell_length_c 5.7913
_cell_angle_alpha 90.00
_cell_angle_beta 90.00
_cell_angle_gamma 120.00
_space_group_name_H-M_alt 'P 63/m'
_space_group_IT_number 176
_space_group_name_Hall '-P 6c'
loop_
_atom_site_label
_atom_site_type_symbol
_atom_site_fract_x
_atom_site_fract_y
_atom_site_fract_z
Ag1 Ag 0.3333 0.6667 0.2500
Sn1 Sn 0.0137 0.6762 0.7500
Au1 Au 0.0033 0.6708 0.2500
# crystal system	hexagonal
# E above lowest polymorph	0.072	eV/atom
# formation energy	-28	meV per atom
# spin magnetization	0.0	μB/f.u.

Record 2
# Er2Al2ZnPd5 PBE relaxed
data_Er2Al2ZnPd5
_cell_length_a 10.151
_cell_length_b 10.151
_cell_length_c 3.415
_cell_angle_alpha 90.00
_cell_angle_beta 90.00
_cell_angle_gamma 90.00
_space_group_name_H-M_alt 'P 4/m b m'
_space_group_IT_number 127
_space_group_name_Hall '-P 4 2ab'
loop_
_atom_site_label
_atom_site_type_symbol
_atom_site_fract_x
_atom_site_fract_y
_atom_site_fract_z
Er1 Er 0.174 0.326 0.000
Al1 Al 0.127 0.627 0.000
Zn1 Zn 0.000 0.000 0.000
Pd1 Pd 0.000 0.500 0.500
Pd2 Pd 0.055 0.798 0.500
# crystal system	tetragonal
# formation energy	-742	meV per atom
# spin magnetization	0.0	μB/f.u.

Record 3
# ScTaCu PBE relaxed
data_ScTaCu
_cell_length_a 6.162
_cell_length_b 6.162
_cell_length_c 6.162
_cell_angle_alpha 90.00
_cell_angle_beta 90.00
_cell_angle_gamma 90.00
_space_group_name_H-M_alt 'F -4 3 m'
_space_group_IT_number 216
_space_group_name_Hall 'F -4 2 3'
loop_
_atom_site_label
_atom_site_type_symbol
_atom_site_fract_x
_atom_site_fract_y
_atom_site_fract_z
Sc1 Sc 0.000 0.000 0.000
Ta1 Ta 0.000 0.000 0.500
Cu1 Cu 0.250 0.250 0.750
# crystal system	cubic
# E above lowest polymorph	0.578	eV/atom
# formation energy	520	meV per atom
# spin magnetization	0.0	μB/f.u.

Record 4
# Ca2ZnMo PBE relaxed
data_Ca2ZnMo
_cell_length_a 4.597
_cell_length_b 4.597
_cell_length_c 8.814
_cell_angle_alpha 90.00
_cell_angle_beta 90.00
_cell_angle_gamma 90.00
_space_group_name_H-M_alt 'I -4 m 2'
_space_group_IT_number 119
_space_group_name_Hall 'I -4 -2'
loop_
_atom_site_label
_atom_site_type_symbol
_atom_site_fract_x
_atom_site_fract_y
_atom_site_fract_z
Ca1 Ca 0.000 0.000 0.000
Ca2 Ca 0.000 0.500 0.250
Zn1 Zn 0.000 0.500 0.750
Mo1 Mo 0.000 0.000 0.500
# crystal system	tetragonal
# formation energy	599	meV per atom
# spin magnetization	2.2	μB/f.u.

Record 5
# Gd2DyBe PBE relaxed
data_Gd2DyBe
_cell_length_a 3.494
_cell_length_b 3.494
_cell_length_c 8.575
_cell_angle_alpha 90.00
_cell_angle_beta 90.00
_cell_angle_gamma 90.00
_space_group_name_H-M_alt 'P 4/m m m'
_space_group_IT_number 123
_space_group_name_Hall '-P 4 2'
loop_
_atom_site_label
_atom_site_type_symbol
_atom_site_fract_x
_atom_site_fract_y
_atom_site_fract_z
Gd1 Gd 0.000 0.000 0.194
Dy1 Dy 0.500 0.500 0.500
Be1 Be 0.500 0.500 0.000
# crystal system	tetragonal
# E above lowest polymorph	0.000	eV/atom
# formation energy	86	meV per atom
# spin magnetization	14.4	μB/f.u.

Record 6
# MgFeHPt2 PBE relaxed
data_MgFeHPt2
_cell_length_a 4.040
_cell_length_b 4.040
_cell_length_c 3.827
_cell_angle_alpha 90.00
_cell_angle_beta 90.00
_cell_angle_gamma 90.00
_space_group_name_H-M_alt 'P 4/m m m'
_space_group_IT_number 123
_space_group_name_Hall '-P 4 2'
loop_
_atom_site_label
_atom_site_type_symbol
_atom_site_fract_x
_atom_site_fract_y
_atom_site_fract_z
Mg1 Mg 0.000 0.000 0.000
Fe1 Fe 0.500 0.500 0.000
H1 H 0.500 0.500 0.500
Pt1 Pt 0.000 0.500 0.500
# crystal system	tetragonal
# final energy	-5.37	eV/atom
# spin magnetization	3.0	μB/f.u.